Entry from Alexandria via LeMat-Bulk: a relaxed Ce5TlRh6 crystal (PBE).

Values from the calculation:
Crystal system = monoclinic

Lattice parameters (Å, degrees): 8.2215 5.0852 7.5251 70.25 79.66 57.90
Closest atoms and distances in Å follow each position.
Atoms (fractional coordinates):
Ce  0.5000  0.1711  0.6579  6 Rh 2.85-2.90
Ce  0.0000  0.3481  0.3038  8 Rh 2.87-3.04
Ce  0.5000  0.5000  0.0000  2 Rh 2.78
Ce  0.0000  0.6519  0.6962  8 Rh 2.87-3.04
Ce  0.5000  0.8289  0.3421  6 Rh 2.85-2.90
Tl  0.0000  0.0000  0.0000  6 Rh 2.82-3.00
Rh  0.7712  0.0205  0.3589  6 Ce 2.86-3.19, 1 Tl 3.00, 1 Rh 3.19
Rh  0.2288  0.6206  0.3589  6 Ce 2.86-3.19, 1 Tl 3.00, 1 Rh 3.19
Rh  0.2872  0.1442  0.0000  5 Ce 2.78-2.99, 1 Tl 2.82, 1 Rh 2.99
Rh  0.7128  0.8558  0.0000  5 Ce 2.78-2.99, 1 Tl 2.82, 1 Rh 2.99
Rh  0.7712  0.3794  0.6411  6 Ce 2.86-3.19, 1 Tl 3.00, 1 Rh 3.19
Rh  0.2288  0.9795  0.6411  6 Ce 2.86-3.19, 1 Tl 3.00, 1 Rh 3.19

=====

Entry from Alexandria via LeMat-Bulk: a relaxed Ce2TlRh crystal (PBE).

Values from the calculation:
Crystal system = trigonal

Lattice parameters (Å, degrees): 3.9263 3.9263 8.7407 77.02 77.02 60.00
Closest atoms and distances in Å follow each position.
Atoms (fractional coordinates):
Ce  0.0655  0.0655  0.8036  3 Rh 2.78
Ce  0.2675  0.2675  0.1974  3 Rh 2.84
Tl  0.4987  0.4987  0.5039  6 Ce 3.40-3.44
Rh  0.6683  0.6683  0.9952  6 Ce 2.78-2.84

=====

Entry from Alexandria via LeMat-Bulk: a relaxed Ce2TlRh crystal (PBE).

Values from the calculation:
Crystal system = tetragonal

Lattice parameters (Å, degrees): 4.4395 4.5768 4.5768 90.00 90.00 90.00
Closest atoms and distances in Å follow each position.
Atoms (fractional coordinates):
Tl  0.5000  0.5000  0.5000  8 Ce 3.19, 4 Rh 3.24
Rh  0.5000  0.0000  0.0000  8 Ce 3.19, 4 Tl 3.24
Ce  0.0000  0.0000  0.5000  4 Tl 3.19, 4 Rh 3.19, 4 Ce 3.24
Ce  0.0000  0.5000  0.0000  4 Tl 3.19, 4 Rh 3.19, 4 Ce 3.24

=====

Entry from Alexandria via LeMat-Bulk: a relaxed Ce2TlRh3 crystal (PBE).

Values from the calculation:
Crystal system = monoclinic

Lattice parameters (Å, degrees): 5.5316 8.6277 6.4399 113.33 115.43 90.00
Closest atoms and distances in Å follow each position.
Atoms (fractional coordinates):
Ce  0.7062  0.5912  0.3628  4 Rh 2.70-2.93
Ce  0.6566  0.0912  0.3628  4 Rh 2.70-2.93
Ce  0.3434  0.9088  0.6372  4 Rh 2.70-2.93
Ce  0.2938  0.4088  0.6372  4 Rh 2.70-2.93
Tl  0.7990  0.7500  0.0000  6 Rh 2.73-2.83
Tl  0.2010  0.2500  0.0000  6 Rh 2.73-2.83
Rh  0.6954  0.2500  0.0000  2 Tl 2.73-2.80, 2 Ce 2.93, 2 Rh 3.04
Rh  0.3046  0.7500  0.0000  2 Tl 2.73-2.80, 2 Ce 2.93, 2 Rh 3.04
Rh  0.1229  0.0798  0.2697  3 Ce 2.70-2.88, 2 Tl 2.78-2.83, 1 Rh 2.82
Rh  0.8532  0.4202  0.7303  3 Ce 2.70-2.88, 2 Tl 2.78-2.83, 1 Rh 2.82
Rh  0.1468  0.5798  0.2697  3 Ce 2.70-2.88, 2 Tl 2.78-2.83, 1 Rh 2.82
Rh  0.8771  0.9202  0.7303  3 Ce 2.70-2.88, 2 Tl 2.78-2.83, 1 Rh 2.82

=====

Entry from Alexandria via LeMat-Bulk: a relaxed Ce2TlRh crystal (PBE).

Values from the calculation:
Crystal system = trigonal

Lattice parameters (Å, degrees): 3.9439 3.9439 8.6288 76.79 76.79 60.00
Closest atoms and distances in Å follow each position.
Atoms (fractional coordinates):
Tl  0.5000  0.5000  0.5000  6 Ce 3.39
Rh  0.0000  0.0000  0.0000  6 Ce 2.81
Ce  0.2672  0.2672  0.1985  3 Rh 2.81
Ce  0.7328  0.7328  0.8015  3 Rh 2.81

=====

Entry from Alexandria via LeMat-Bulk: a relaxed Ce6TlRh crystal (PBE).

Values from the calculation:
Crystal system = monoclinic

Lattice parameters (Å, degrees): 6.2251 6.2251 6.3217 101.69 101.69 101.89
Closest atoms and distances in Å follow each position.
Atoms (fractional coordinates):
Ce  0.1827  0.1827  0.5984  1 Ce 2.73, 1 Rh 2.75
Ce  0.5894  0.1715  0.1906  1 Ce 2.73, 1 Rh 2.76
Ce  0.8173  0.8173  0.4016  1 Ce 2.73, 1 Rh 2.75
Ce  0.8285  0.4106  0.8094  1 Ce 2.73, 1 Rh 2.76
Ce  0.4106  0.8285  0.8094  1 Ce 2.73, 1 Rh 2.76
Ce  0.1715  0.5894  0.1906  1 Ce 2.73, 1 Rh 2.76
Tl  0.0000  0.0000  0.0000  12 Ce 3.29-3.59
Rh  0.5000  0.5000  0.5000  6 Ce 2.75-2.76

=====

Entry from Alexandria via LeMat-Bulk: a relaxed Ce5Tl2Rh2 crystal (PBE).

Values from the calculation:
Crystal system = orthorhombic

Lattice parameters (Å, degrees): 8.5859 6.5247 10.2679 108.53 114.71 90.00
Closest atoms and distances in Å follow each position.
Atoms (fractional coordinates):
Ce  0.1888  0.6907  0.9471  2 Rh 2.71-2.82
Ce  0.8113  0.7436  0.0529  2 Rh 2.71-2.82
Ce  0.2584  0.1907  0.9471  2 Rh 2.71-2.82
Ce  0.7417  0.2436  0.0529  2 Rh 2.71-2.82
Ce  0.2651  0.0680  0.3233  1 Rh 2.69
Ce  0.7349  0.7447  0.6767  1 Rh 2.69
Ce  0.5582  0.5680  0.3233  1 Rh 2.69
Ce  0.4418  0.2447  0.6767  1 Rh 2.69
Ce  0.0336  0.7804  0.5000  2 Rh 2.89-3.02
Ce  0.9664  0.2804  0.5000  2 Rh 2.89-3.02
Tl  0.1354  0.5100  0.2065  1 Rh 2.81
Tl  0.8646  0.3036  0.7935  1 Rh 2.81
Tl  0.5710  0.0100  0.2065  1 Rh 2.81
Tl  0.4290  0.8036  0.7935  1 Rh 2.81
Rh  0.0000  0.0136  0.0000  4 Ce 2.71-2.82
Rh  0.5000  0.5136  0.0000  4 Ce 2.71-2.82
Rh  0.2825  0.4815  0.5000  4 Ce 2.69-3.02, 2 Tl 2.81
Rh  0.7175  0.9815  0.5000  4 Ce 2.69-3.02, 2 Tl 2.81

=====

Entry from Alexandria via LeMat-Bulk: a relaxed Ce11Tl9Rh4 crystal (PBE).

Values from the calculation:
Crystal system = orthorhombic

Lattice parameters (Å, degrees): 3.7665 13.3156 13.3156 110.88 90.00 90.00
Closest atoms and distances in Å follow each position.
Atoms (fractional coordinates):
Ce  0.0000  0.5755  0.9230  2 Rh 2.86
Ce  0.0000  0.4245  0.0770  2 Rh 2.86
Ce  0.0000  0.9230  0.5755  2 Rh 2.86
Ce  0.0000  0.0770  0.4245  2 Rh 2.86
Ce  0.0000  0.6280  0.3720  4 Rh 3.01
Ce  0.0000  0.3720  0.6280  4 Rh 3.01
Ce  0.0000  0.8493  0.1507  1 Ce 3.31, 8 Tl 3.39-3.43
Ce  0.0000  0.1507  0.8493  1 Ce 3.31, 8 Tl 3.39-3.43
Ce  0.0000  0.0000  0.0000  2 Ce 3.31, 8 Tl 3.35
Ce  0.0000  0.6855  0.6855  4 Rh 2.98
Ce  0.0000  0.3145  0.3145  4 Rh 2.98
Tl  0.5000  0.6392  0.1558  1 Tl 3.10, 1 Rh 3.14, 6 Ce 3.27-3.46
Tl  0.5000  0.3608  0.8442  1 Tl 3.10, 1 Rh 3.14, 6 Ce 3.27-3.46
Tl  0.5000  0.1558  0.6392  1 Tl 3.10, 1 Rh 3.14, 6 Ce 3.27-3.46
Tl  0.5000  0.8442  0.3608  1 Tl 3.10, 1 Rh 3.14, 6 Ce 3.27-3.46
Tl  0.5000  0.7770  0.9207  1 Rh 3.06, 1 Tl 3.15, 4 Ce 3.29-3.35
Tl  0.5000  0.2230  0.0793  1 Rh 3.06, 1 Tl 3.15, 4 Ce 3.29-3.35
Tl  0.5000  0.9207  0.7770  1 Rh 3.06, 1 Tl 3.15, 4 Ce 3.29-3.35
Tl  0.5000  0.0793  0.2230  1 Rh 3.06, 1 Tl 3.15, 4 Ce 3.29-3.35
Tl  0.5000  0.5000  0.5000  4 Rh 3.21, 8 Ce 3.38
Rh  0.5000  0.5489  0.7538  6 Ce 2.86-3.01, 2 Tl 3.06-3.14
Rh  0.5000  0.4511  0.2462  6 Ce 2.86-3.01, 2 Tl 3.06-3.14
Rh  0.5000  0.7538  0.5489  6 Ce 2.86-3.01, 2 Tl 3.06-3.14
Rh  0.5000  0.2462  0.4511  6 Ce 2.86-3.01, 2 Tl 3.06-3.14

=====

Entry from Alexandria via LeMat-Bulk: a relaxed Ce5Tl5Rh crystal (PBE).

Values from the calculation:
Crystal system = monoclinic

Lattice parameters (Å, degrees): 5.5490 9.5641 6.7770 110.79 90.00 106.86
Closest atoms and distances in Å follow each position.
Atoms (fractional coordinates):
Ce  0.8491  0.6981  0.0576  1 Ce 2.83, 1 Rh 2.93
Ce  0.8493  0.6986  0.6408  1 Ce 2.83, 1 Rh 2.92
Ce  0.5000  0.0000  0.0000  2 Rh 2.77
Ce  0.1507  0.3014  0.3592  1 Ce 2.83, 1 Rh 2.92
Ce  0.1509  0.3019  0.9424  1 Ce 2.83, 1 Rh 2.93
Tl  0.6971  0.3941  0.1972  7 Ce 3.21-3.35, 2 Tl 3.53
Tl  0.6391  0.2783  0.6390  4 Ce 3.41, 4 Tl 3.53-3.65
Tl  0.0000  0.0000  0.5000  4 Ce 3.24, 2 Rh 3.39
Tl  0.3609  0.7217  0.3610  4 Ce 3.41, 4 Tl 3.53-3.65
Tl  0.3029  0.6059  0.8028  7 Ce 3.21-3.35, 2 Tl 3.53
Rh  0.0000  0.0000  0.0000  6 Ce 2.77-2.93

=====

Entry from Alexandria via LeMat-Bulk: a relaxed Ce3TlRh crystal (PBE).

Values from the calculation:
Crystal system = monoclinic

Lattice parameters (Å, degrees): 4.9080 6.5829 8.0854 88.45 107.67 90.00
Closest atoms and distances in Å follow each position.
Atoms (fractional coordinates):
Ce  0.9651  0.7531  0.9302  1 Rh 2.97, 2 Ce 2.97, 2 Tl 3.31
Ce  0.0349  0.2469  0.0698  1 Rh 2.97, 2 Ce 2.97, 2 Tl 3.31
Ce  0.6136  0.4157  0.2271  3 Ce 2.92-2.97, 3 Rh 2.93-2.97, 1 Tl 3.24
Ce  0.3864  0.5843  0.7729  3 Ce 2.92-2.97, 3 Rh 2.93-2.97, 1 Tl 3.24
Ce  0.7754  0.1729  0.5507  1 Ce 2.92, 3 Rh 2.93-2.95, 2 Tl 3.23
Ce  0.2246  0.8271  0.4493  1 Ce 2.92, 3 Rh 2.93-2.95, 2 Tl 3.23
Tl  0.4081  0.0938  0.8163  1 Tl 3.06, 9 Ce 3.23-3.42
Tl  0.5919  0.9062  0.1837  1 Tl 3.06, 9 Ce 3.23-3.42
Rh  0.2173  0.3791  0.4346  7 Ce 2.93-2.97, 2 Rh 3.11
Rh  0.7827  0.6209  0.5654  7 Ce 2.93-2.97, 2 Rh 3.11

=====

Entry from Alexandria via LeMat-Bulk: a relaxed Ce4Tl2Rh crystal (PBE).

Values from the calculation:
Crystal system = monoclinic

Lattice parameters (Å, degrees): 3.6000 8.5949 6.6797 100.15 90.00 90.00
Closest atoms and distances in Å follow each position.
Atoms (fractional coordinates):
Ce  0.5000  0.0610  0.7743  2 Rh 2.67, 1 Ce 2.75
Ce  0.0000  0.4230  0.1383  1 Ce 2.85, 1 Rh 2.98
Ce  0.5000  0.0818  0.3685  2 Rh 2.67, 1 Ce 2.75
Ce  0.0000  0.7198  0.0047  1 Ce 2.85, 1 Rh 2.97
Tl  0.5000  0.4268  0.6813  1 Tl 3.10, 2 Ce 3.31
Tl  0.5000  0.7161  0.4616  1 Tl 3.10, 2 Ce 3.31
Rh  0.0000  0.0713  0.0714  6 Ce 2.67-2.98

=====

Entry from Alexandria via LeMat-Bulk: a relaxed Ce3TlRh crystal (PBE).

Values from the calculation:
Crystal system = cubic

Lattice parameters (Å, degrees): 5.3912 5.3912 5.3912 90.00 90.00 90.00
Closest atoms and distances in Å follow each position.
Atoms (fractional coordinates):
Tl  0.5000  0.5000  0.5000  12 Ce 3.81
Rh  0.0000  0.0000  0.0000  6 Ce 2.70
Ce  0.0000  0.5000  0.0000  2 Rh 2.70
Ce  0.0000  0.0000  0.5000  2 Rh 2.70
Ce  0.5000  0.0000  0.0000  2 Rh 2.70

=====

In the order shown, the computed magnetic moment values come out to 0.038; 0.373; 0.025; 0.000; 0.374; 0.439; 0.466; 0.339; 0.355; 0.158; 0.453; 0.583 μB/atom.
In the order shown, the computed calculated formation energy values come out to -0.631; -0.393; -0.329; -0.520; -0.423; -0.126; -0.294; -0.449; -0.219; -0.347; -0.179; -0.207 eV/atom.